# 1
This record from the Alexandria database describes crystalline AlIn2Cl at its relaxed geometry. The functional is PBE.

The calculation puts the formation energy without anion corrections at -0.934 eV per formula unit. As for the offset from the most stable computed form: 0 meV/atom.

The structure belongs to space group R3m (No. 160, hexagonal axes); the cell edges are 3.4255, 3.4255 and 30.3995 Å and the angles 90.00°, 90.00° and 120.00°. The asymmetric unit holds Al at (0.0000, 0.0000, 0.0000), In at (0.0000, 0.0000, 0.2604), In at (0.0000, 0.0000, 0.5072) and Cl at (0.0000, 0.0000, 0.7207).



# 2
This record from the Alexandria database describes crystalline CaMgIr2 at its relaxed geometry. The functional is PBE.

Its energy of formation from the pure elements is 1.01 eV per formula unit.

The structure belongs to space group I-42d (No. 122); the cell edges are 7.5927, 7.5927 and 5.3282 Å and the angles 90.00°, 90.00° and 90.00°. The asymmetric unit holds Ca at (0.0000, 0.0000, 0.0000), Mg at (0.0000, 0.0000, 0.5000) and Ir at (0.2176, 0.2500, 0.6250).



# 3
This record from the Alexandria database describes crystalline CuCI2 at its relaxed geometry. The functional is PBE.

The calculation puts the formation energy without anion corrections at 5.336 eV per formula unit. As for the offset from the most stable computed form: 0 meV/atom.

The structure belongs to space group I-42d (No. 122); the cell edges are 5.5423, 5.5423 and 13.3077 Å and the angles 90.00°, 90.00° and 90.00°. The asymmetric unit holds Cu at (0.0000, 0.0000, 0.0000), C at (0.0000, 0.0000, 0.5000) and I at (0.2227, 0.2500, 0.6250).



> Number 1 is which compound?

AlIn2Cl